# LiIr2Rh

A relaxed LiIr2Rh crystal (GGA-PBEsol, the Alexandria database).

abc: 8.839 2.671 4.585
angles: 90.00 98.57 90.00
Space group Cm (No. 8)
Symmetry-distinct sites (fractional):
Li 0.000 0.000 0.000
Ir 0.003 0.500 0.496
Ir 0.259 0.500 0.285
Rh 0.243 0.000 0.785

Properties
For the total energy, the calculation gives -59.99 eV per cell. Its crystal system is monoclinic.

***

# LiIr2Rh

A relaxed LiIr2Rh crystal (GGA-PBEsol, the Alexandria database).

abc: 2.674 4.578 9.033
angles: 90.00 90.00 90.00
Space group Cmmm (No. 65)
Symmetry-distinct sites (fractional):
Li 0.000 0.000 0.000
Ir 0.000 0.500 0.247
Rh 0.000 0.000 0.500

Properties
For the total energy, the calculation gives -58.43 eV per cell. Its crystal system is orthorhombic.

***

# LiIrRu2

A relaxed LiIrRu2 crystal (GGA-PBEsol, the Alexandria database).

abc: 2.635 3.963 5.080
angles: 90.00 104.95 90.00
Space group Pm (No. 6)
Symmetry-distinct sites (fractional):
Li 0.000 0.000 0.000
Ir 0.406 0.500 0.795
Ru 0.144 0.500 0.266
Ru 0.760 0.000 0.501

Properties
Its crystal system is monoclinic. The energy above the lowest structure with this stoichiometry comes out at 0.000 eV per atom.

***

# LiIrRu2

A relaxed LiIrRu2 crystal (GGA-PBEsol, the Alexandria database).

abc: 2.844 4.252 8.308
angles: 90.00 90.00 90.00
Space group Immm (No. 71)
Symmetry-distinct sites (fractional):
Li 0.000 0.000 0.000
Ir 0.000 0.000 0.500
Ru 0.000 0.500 0.266

Properties
Its crystal system is orthorhombic. The energy above the lowest structure with this stoichiometry comes out at 0.041 eV per atom.

***

# LiIrRu2

A relaxed LiIrRu2 crystal (GGA-PBEsol, the Alexandria database).

abc: 2.689 4.514 9.110
angles: 90.00 90.00 90.00
Space group Cmmm (No. 65)
Symmetry-distinct sites (fractional):
Li 0.000 0.000 0.000
Ir 0.000 0.000 0.500
Ru 0.000 0.500 0.250

Properties
Its crystal system is orthorhombic. The energy above the lowest structure with this stoichiometry comes out at 0.253 eV per atom.

***

# LiIrRu2

A relaxed LiIrRu2 crystal (GGA-PBEsol, the Alexandria database).

abc: 2.737 2.737 6.793
angles: 90.00 90.00 90.00
Space group P4mm (No. 99)
Symmetry-distinct sites (fractional):
Li 0.000 0.000 0.000
Ir 0.500 0.500 0.766
Ru 0.000 0.000 0.497
Ru 0.500 0.500 0.242

Properties
Its crystal system is tetragonal. The energy above the lowest structure with this stoichiometry comes out at 0.042 eV per atom.

***

# LiIrRu2

A relaxed LiIrRu2 crystal (GGA-PBEsol, the Alexandria database).

abc: 5.940 5.940 5.940
angles: 90.00 90.00 90.00
Space group Fm-3m (No. 225)
Symmetry-distinct sites (fractional):
Li 0.000 0.000 0.000
Ir 0.000 0.000 0.500
Ru 0.250 0.250 0.250

Properties
Its crystal system is cubic. The energy above the lowest structure with this stoichiometry comes out at 0.171 eV per atom.

***

# LiIr3S

A relaxed LiIr3S crystal (GGA-PBEsol, the Alexandria database).

abc: 4.341 4.341 4.341
angles: 90.00 90.00 90.00
Space group Pm-3m (No. 221)
Symmetry-distinct sites (fractional):
Li 0.000 0.000 0.000
Ir 0.000 0.500 0.500
S 0.500 0.500 0.500

Properties
For the total energy, the calculation gives -32.77 eV per cell. Its crystal system is cubic.

***

# Li2SbIr

A relaxed Li2SbIr crystal (GGA-PBEsol, the Alexandria database).

abc: 3.092 3.651 5.660
angles: 90.00 90.00 90.00
Space group Pmm2 (No. 25)
Symmetry-distinct sites (fractional):
Li 0.000 0.000 0.000
Li 0.500 0.500 0.235
Sb 0.000 0.000 0.526
Ir 0.500 0.500 0.748

Properties
For the total energy, the calculation gives -19.22 eV per cell. Its crystal system is orthorhombic.

***

# Li2SbIr

A relaxed Li2SbIr crystal (GGA-PBEsol, the Alexandria database).

abc: 3.110 4.255 4.716
angles: 90.00 90.00 90.00
Space group Pmm2 (No. 25)
Symmetry-distinct sites (fractional):
Li 0.000 0.000 0.000
Li 0.500 0.500 0.111
Sb 0.000 0.500 0.611
Ir 0.500 0.000 0.473

Properties
For the total energy, the calculation gives -19.35 eV per cell. Its crystal system is orthorhombic.

***

# LiSb2Ir

A relaxed LiSb2Ir crystal (GGA-PBEsol, the Alexandria database).

abc: 3.680 4.401 4.509
angles: 90.00 90.00 90.00
Space group Pmmm (No. 47)
Symmetry-distinct sites (fractional):
Li 0.000 0.000 0.000
Sb 0.500 0.000 0.500
Sb 0.500 0.500 0.000
Ir 0.000 0.500 0.500

Properties
Its crystal system is orthorhombic. The energy above the lowest structure with this stoichiometry comes out at 0.154 eV per atom.

***

# Li2SbIr

A relaxed Li2SbIr crystal (GGA-PBEsol, the Alexandria database).

abc: 9.045 3.170 4.648
angles: 90.00 108.87 90.00
Space group Cm (No. 8)
Symmetry-distinct sites (fractional):
Li 0.000 0.000 0.000
Li 0.245 0.000 0.832
Sb 0.482 0.000 0.477
Ir 0.241 0.500 0.335

Properties
For the total energy, the calculation gives -38.98 eV per cell. Its crystal system is monoclinic.

***

Calculated N(E_F) (states/eV/f.u.), listed in the same order as above: 3.615, 5.553, 3.479, 3.569, 4.892, 3.696, 5.835, 4.168, 1.826, 1.128, 1.616, 0.689